Record 1
First-principles (PBEsol) data for a geometry-optimized Cu5Pt4 structure, as listed in Alexandria.

- Energy of formation: -0.11 eV per atom

a b c (Å): 5.882 5.882 5.882
angles (deg): 95.92 95.92 142.53
Atoms (fractional coordinates):
1 Cu 0.000 0.000 0.000
2 Cu 0.337 0.337 0.674
3 Cu 0.337 0.663 0.000
4 Cu 0.663 0.337 0.000
5 Cu 0.663 0.663 0.326
6 Pt 0.000 0.323 0.323
7 Pt 0.000 0.677 0.677
8 Pt 0.323 0.000 0.323
9 Pt 0.677 0.000 0.677

***

Record 2
First-principles (PBEsol) data for a geometry-optimized Cu7Pt5 structure, as listed in Alexandria.

- Energy above the lowest structure with this stoichiometry: 0.017 eV/atom
- Energy of formation: -0.10 eV per atom

a b c (Å): 3.730 5.269 7.932
angles (deg): 90.00 90.00 90.00
Atoms (fractional coordinates):
1 Cu 0.000 0.000 0.000
2 Cu 0.000 0.500 0.328
3 Cu 0.000 0.500 0.672
4 Cu 0.500 0.251 0.161
5 Cu 0.500 0.251 0.839
6 Cu 0.500 0.749 0.161
7 Cu 0.500 0.749 0.839
8 Pt 0.000 0.000 0.319
9 Pt 0.000 0.000 0.681
10 Pt 0.000 0.500 0.000
11 Pt 0.500 0.254 0.500
12 Pt 0.500 0.746 0.500

***

Record 3
First-principles (PBEsol) data for a geometry-optimized Cu5Pt3 structure, as listed in Alexandria.

- Energy of formation: -0.12 eV per atom

a b c (Å): 5.212 5.212 4.448
angles (deg): 103.73 103.73 62.12
Atoms (fractional coordinates):
1 Cu 0.000 0.000 0.000
2 Cu 0.000 0.500 0.000
3 Cu 0.246 0.754 0.500
4 Cu 0.500 0.000 0.000
5 Cu 0.754 0.246 0.500
6 Pt 0.247 0.247 0.493
7 Pt 0.500 0.500 0.000
8 Pt 0.753 0.753 0.507

***

Record 4
First-principles (PBEsol) data for a geometry-optimized CuPt2 structure, as listed in Alexandria.

- Energy of formation: -0.08 eV per atom

a b c (Å): 6.043 6.043 4.670
angles (deg): 97.36 97.36 84.56
Atoms (fractional coordinates):
1 Cu 0.000 0.000 0.000
2 Cu 0.161 0.838 0.493
3 Cu 0.758 0.758 0.246
4 Cu 0.838 0.161 0.493
5 Pt 0.080 0.420 0.249
6 Pt 0.241 0.241 0.745
7 Pt 0.331 0.675 0.994
8 Pt 0.420 0.080 0.249
9 Pt 0.505 0.505 0.492
10 Pt 0.592 0.918 0.745
11 Pt 0.675 0.331 0.994
12 Pt 0.918 0.592 0.745

***

Record 5
First-principles (PBEsol) data for a geometry-optimized Cu5Pt7 structure, as listed in Alexandria.

- Energy above the lowest structure with this stoichiometry: 0.020 eV/atom
- Energy of formation: -0.08 eV per atom

a b c (Å): 4.654 4.654 8.906
angles (deg): 95.09 95.09 120.30
Atoms (fractional coordinates):
1 Cu 0.000 0.000 0.000
2 Cu 0.165 0.835 0.500
3 Cu 0.247 0.247 0.746
4 Cu 0.753 0.753 0.254
5 Cu 0.835 0.165 0.500
6 Pt 0.080 0.413 0.254
7 Pt 0.336 0.664 0.000
8 Pt 0.413 0.080 0.254
9 Pt 0.500 0.500 0.500
10 Pt 0.587 0.920 0.746
11 Pt 0.664 0.336 0.000
12 Pt 0.920 0.587 0.746

***

Record 6
First-principles (PBEsol) data for a geometry-optimized Cu5Pt7 structure, as listed in Alexandria.

- Energy above the lowest structure with this stoichiometry: 0.000 eV/atom
- Energy of formation: -0.10 eV per atom

a b c (Å): 2.718 8.073 7.432
angles (deg): 90.00 90.00 90.00
Atoms (fractional coordinates):
1 Cu 0.000 0.000 0.000
2 Cu 0.000 0.328 0.516
3 Cu 0.000 0.672 0.516
4 Cu 0.500 0.164 0.764
5 Cu 0.500 0.836 0.764
6 Pt 0.000 0.000 0.529
7 Pt 0.000 0.326 0.004
8 Pt 0.000 0.674 0.004
9 Pt 0.500 0.165 0.263
10 Pt 0.500 0.500 0.277
11 Pt 0.500 0.500 0.745
12 Pt 0.500 0.835 0.263

***

Record 7
First-principles (PBEsol) data for a geometry-optimized Cu5Pt3 structure, as listed in Alexandria.

- Energy of formation: -0.12 eV per atom

a b c (Å): 5.217 5.217 3.768
angles (deg): 90.00 90.00 92.61
Atoms (fractional coordinates):
1 Cu 0.000 0.000 0.000
2 Cu 0.000 0.500 0.000
3 Cu 0.250 0.250 0.500
4 Cu 0.500 0.000 0.000
5 Cu 0.750 0.750 0.500
6 Pt 0.241 0.759 0.500
7 Pt 0.500 0.500 0.000
8 Pt 0.759 0.241 0.500

***

Record 8
First-principles (PBEsol) data for a geometry-optimized CuPt2 structure, as listed in Alexandria.

- Energy of formation: -0.10 eV per atom

a b c (Å): 2.707 2.707 6.587
angles (deg): 90.00 90.00 120.00
Atoms (fractional coordinates):
1 Cu 0.000 0.000 0.000
2 Pt 0.333 0.667 0.681
3 Pt 0.667 0.333 0.319

***

Record 9
First-principles (PBEsol) data for a geometry-optimized CuPt2 structure, as listed in Alexandria.

- Energy of formation: -0.07 eV per atom

a b c (Å): 7.519 2.723 8.147
angles (deg): 90.00 90.15 90.00
Atoms (fractional coordinates):
1 Cu 0.114 0.250 0.080
2 Cu 0.119 0.250 0.760
3 Cu 0.881 0.750 0.240
4 Cu 0.886 0.750 0.920
5 Pt 0.115 0.250 0.407
6 Pt 0.360 0.750 0.919
7 Pt 0.364 0.750 0.586
8 Pt 0.372 0.750 0.245
9 Pt 0.628 0.250 0.755
10 Pt 0.636 0.250 0.414
11 Pt 0.640 0.250 0.081
12 Pt 0.885 0.750 0.593

***

Record 10
First-principles (PBEsol) data for a geometry-optimized Cu3Pt5 structure, as listed in Alexandria.

- Energy above the lowest structure with this stoichiometry: 0.000 eV/atom
- Energy of formation: -0.10 eV per atom

a b c (Å): 5.354 5.354 3.837
angles (deg): 90.00 90.00 92.57
Atoms (fractional coordinates):
1 Cu 0.000 0.000 0.000
2 Cu 0.251 0.749 0.500
3 Cu 0.749 0.251 0.500
4 Pt 0.000 0.500 0.000
5 Pt 0.241 0.241 0.500
6 Pt 0.500 0.000 0.000
7 Pt 0.500 0.500 0.000
8 Pt 0.759 0.759 0.500

***

Record 11
First-principles (PBEsol) data for a geometry-optimized Cu5Pt7 structure, as listed in Alexandria.

- Energy above the lowest structure with this stoichiometry: 0.009 eV/atom
- Energy of formation: -0.09 eV per atom

a b c (Å): 4.628 5.384 6.578
angles (deg): 90.48 90.06 90.00
Atoms (fractional coordinates):
1 Cu 0.000 0.000 0.000
2 Cu 0.002 0.511 0.998
3 Cu 0.167 0.752 0.336
4 Cu 0.332 0.506 0.670
5 Cu 0.835 0.754 0.670
6 Pt 0.167 0.257 0.335
7 Pt 0.327 0.992 0.670
8 Pt 0.497 0.256 0.998
9 Pt 0.499 0.752 0.000
10 Pt 0.669 0.508 0.335
11 Pt 0.674 0.000 0.335
12 Pt 0.838 0.263 0.673

***

Record 12
First-principles (PBEsol) data for a geometry-optimized CuPt2 structure, as listed in Alexandria.

- Energy of formation: -0.06 eV per atom

a b c (Å): 8.979 8.571 4.673
angles (deg): 79.44 69.78 30.77
Atoms (fractional coordinates):
1 Cu 0.000 0.000 0.500
2 Cu 0.079 0.079 0.921
3 Cu 0.500 0.500 0.000
4 Cu 0.921 0.921 0.079
5 Pt 0.161 0.161 0.339
6 Pt 0.251 0.251 0.749
7 Pt 0.339 0.339 0.161
8 Pt 0.421 0.421 0.579
9 Pt 0.579 0.579 0.421
10 Pt 0.661 0.661 0.839
11 Pt 0.749 0.749 0.251
12 Pt 0.839 0.839 0.661